# 1
DFT (GGA-PBE) results for Cu2ReBr after structural relaxation.

a = 4.670 Å, b = 4.670 Å, c = 4.854 Å
α = 80.86°, β = 80.86°, γ = 35.47°
Atoms (fractional coordinates):
Br 0.767 0.767 0.711
Cu 0.985 0.985 0.045
Cu 0.239 0.239 0.227
Re 0.509 0.509 0.516

As for the space-group type: No. 8. The value obtained for the total DFT energy (no corrections) is -0.175 hartree per atom. Its formation energy from raw total energies is 0.828 eV per atom. The value obtained for the energy relative to the lowest polymorph listed for this composition is 270 meV/atom.

# 2
DFT (GGA-PBE) results for CuRe2Br after structural relaxation.

a = 2.765 Å, b = 2.765 Å, c = 10.225 Å
α = 90.00°, β = 90.00°, γ = 116.40°
Atoms (fractional coordinates):
Br 0.000 0.000 0.541
Cu 0.500 0.500 0.772
Re 0.000 0.000 0.988
Re 0.500 0.500 0.198

As for the space-group type: No. 35. The value obtained for the total DFT energy (no corrections) is -0.255 hartree per atom. Its formation energy from raw total energies is 0.720 eV per atom. The value obtained for the energy relative to the lowest polymorph listed for this composition is 254 meV/atom.

# 3
DFT (GGA-PBE) results for CuReBr after structural relaxation.

a = 4.201 Å, b = 4.201 Å, c = 4.201 Å
α = 60.00°, β = 60.00°, γ = 60.00°
Each line ends with the local moment (μB).
Atoms (fractional coordinates):
Br 0.750 0.750 0.750  -0.01
Cu 0.000 0.000 0.000  0.00
Re 0.500 0.500 0.500  0.55

As for the space-group type: No. 216. The value obtained for the total DFT energy (no corrections) is -0.159 hartree per atom. Its formation energy from raw total energies is 1.744 eV per atom. The value obtained for the energy relative to the lowest polymorph listed for this composition is 947 meV/atom.

# 4
DFT (GGA-PBE) results for CuRe4Br after structural relaxation.

a = 5.246 Å, b = 5.246 Å, c = 5.246 Å
α = 60.00°, β = 60.00°, γ = 60.00°
Atoms (fractional coordinates):
Cu 0.000 0.000 0.000
Re 0.874 0.375 0.375
Re 0.375 0.375 0.874
Re 0.375 0.874 0.375
Re 0.375 0.375 0.375
Br 0.750 0.750 0.750

As for the space-group type: No. 216. The value obtained for the total DFT energy (no corrections) is -0.295 hartree per atom. Its formation energy from raw total energies is 1.237 eV per atom.

What is the formula in the second record? CuRe2Br

What is the formation energy from raw total energies in the second record? 0.720 eV per atom

What is the formula in the first record? Cu2ReBr